No. 1
{
  "formula": "Ga3SF",
  "functional": "PBE",
  "state": "relaxed",
  "raw_formation_energy_mev_per_atom": -419,
  "sg": "Pm-3m (221)",
  "vol_a3_per_atom": 21.8,
  "de_polymorph_mev_per_atom": 0.0,
  "dft_energy_ev_per_cell": -17.2,
  "lattice_angstrom": [[4.778, 0.000, 0.000], [0.000, 4.778, 0.000], [0.000, 0.000, 4.778]],
  "species": ["Ga", "Ga", "Ga", "S", "F"],
  "fractional_positions": [[0.000, 0.000, 0.500], [0.000, 0.500, 0.000], [0.500, 0.000, 0.000], [0.500, 0.500, 0.500], [0.000, 0.000, 0.000]]
}

***

No. 2
{
  "formula": "GaSF",
  "functional": "PBE",
  "state": "relaxed",
  "raw_formation_energy_mev_per_atom": -1364,
  "sg": "Pnma (62)",
  "vol_a3_per_atom": 20.8,
  "de_polymorph_mev_per_atom": 103.8,
  "dft_energy_ev_per_cell": -52.5,
  "lattice_angstrom": [[6.832, 0.000, 0.000], [0.000, 4.450, 0.000], [0.000, 0.000, 8.209]],
  "species": ["Ga", "Ga", "Ga", "Ga", "S", "S", "S", "S", "F", "F", "F", "F"],
  "fractional_positions": [[0.056, 0.250, 0.153], [0.444, 0.750, 0.653], [0.556, 0.250, 0.347], [0.944, 0.750, 0.847], [0.123, 0.750, 0.626], [0.377, 0.250, 0.126], [0.623, 0.750, 0.874], [0.877, 0.250, 0.374], [0.027, 0.750, 0.070], [0.473, 0.250, 0.570], [0.527, 0.750, 0.430], [0.973, 0.250, 0.930]]
}

***

No. 3
{
  "formula": "GaSF",
  "functional": "PBE",
  "state": "relaxed",
  "raw_formation_energy_mev_per_atom": -1420,
  "sg": "Cc (9)",
  "vol_a3_per_atom": 17.1,
  "de_polymorph_mev_per_atom": 47.3,
  "dft_energy_ev_per_cell": -26.6,
  "lattice_angstrom": [[2.766, -2.743, 0.000], [2.766, 2.743, 0.000], [-1.491, 0.000, 6.770]],
  "species": ["Ga", "Ga", "S", "S", "F", "F"],
  "fractional_positions": [[0.177, 0.823, 0.500], [0.823, 0.177, 0.000], [0.733, 0.816, 0.691], [0.816, 0.733, 0.191], [0.227, 0.301, 0.453], [0.301, 0.227, 0.953]]
}